A relaxed AlFeBO4 crystal, computed with PBE with a Hubbard U.

```
AlFeBO4
1.0
2.816 -4.175 0.000
2.816 4.175 0.000
0.000 0.000 5.601
Al Fe B O
2 2 2 8
Direct
0.141 0.859 0.750 Al
0.859 0.141 0.250 Al
0.500 0.500 0.000 Fe
0.500 0.500 0.500 Fe
0.147 0.853 0.250 B
0.853 0.147 0.750 B
0.186 0.234 0.750 O
0.234 0.186 0.250 O
0.242 0.758 0.031 O
0.242 0.758 0.469 O
0.758 0.242 0.531 O
0.758 0.242 0.969 O
0.766 0.814 0.750 O
0.814 0.766 0.250 O
```

Output
Uncorrected energy, eV/f.u.: -51.656